Arrangement A

Computed, not measured: a geometry-optimized AlAuCl2 structure at the PBE-GGA level of DFT.

Cell and atoms, written as extended XYZ:
```
4
Lattice="1.674 0.967 9.474 -1.674 0.967 9.474 0.000 -1.933 9.474" Properties=species:S:1:pos:R:3 pbc="T T T"
Al 0.000 0.000 0.000
Au 0.000 0.000 14.211
Cl 0.000 0.000 7.933
Cl 0.000 0.000 20.488
```

Arrangement B

Computed, not measured: a geometry-optimized AlAuCl2 structure at the PBE-GGA level of DFT.

Cell and atoms, written as extended XYZ:
```
4
Lattice="3.195 0.000 0.000 0.000 3.195 0.000 0.000 0.000 8.247" Properties=species:S:1:pos:R:3 pbc="T T T"
Al 0.000 0.000 0.000
Au 1.597 1.597 1.544
Cl 0.000 0.000 3.282
Cl 1.597 1.597 6.621
```

Which is most stable, and by how much? arrangement B, by 73 meV/atom.

Arrangement A

Computed, not measured: a geometry-optimized AlAuCl2 structure at the PBE-GGA level of DFT.

Cell and atoms, written as extended XYZ:
```
4
Lattice="6.335 -1.535 0.000 6.335 1.535 0.000 -3.739 0.000 5.912" Properties=species:S:1:pos:R:3 pbc="T T T"
Al 0.000 0.000 0.000
Au 0.600 0.000 5.480
Cl 3.772 0.000 4.539
Cl 6.910 0.000 1.687
```

Arrangement B

Computed, not measured: a geometry-optimized AlAuCl2 structure at the PBE-GGA level of DFT.

Cell and atoms, written as extended XYZ:
```
4
Lattice="-1.632 3.337 4.485 1.632 -3.337 4.485 1.632 3.337 -4.485" Properties=species:S:1:pos:R:3 pbc="T T T"
Al 0.000 0.000 0.000
Au 1.632 0.000 1.818
Cl 0.000 0.000 3.938
Cl 0.000 3.337 2.788
```

Which is most stable, and by how much? arrangement A, by 183 meV/atom.